A relaxed Ce3Pm5N8 crystal, computed with PBE.

The structure in POSCAR format:
```
Ce3Pm5N8
1.0
6.235 0.000 3.571
2.095 5.872 3.571
0.028 0.019 7.180
Pm N Ce
5 8 3
Cartesian
3.117 0.000 1.786
4.165 2.936 3.571
0.000 0.000 0.000
1.047 2.936 1.786
4.178 2.946 7.161
5.281 1.483 8.920
3.075 4.409 5.402
3.171 4.476 8.920
5.186 1.415 5.402
6.254 4.409 7.223
2.059 1.451 3.634
2.103 1.483 7.100
6.298 4.440 10.688
1.061 2.946 5.376
3.131 0.010 5.376
0.014 0.010 3.590
```

Values from the calculation:
DOS(E_F): 8.539 states/eV/cell
Space-group type: No. 166
Raw formation energy: -23.71 eV/f.u.
Theoretical density: 7.969 Mg/m³